[1]
Below is Li4TiZn5 after structural relaxation, with properties calculated at the GGA-PBE level.

Cell: 2.779 2.779 19.592 Å, 90.00 90.00 90.00°
Fractional coordinates of all 10 atoms:
Zn 0.500 0.500 0.500
Zn 0.500 0.500 0.299
Li 0.000 0.000 0.201
Li 0.000 0.000 0.799
Ti 0.000 0.000 0.000
Zn 0.500 0.500 0.701
Zn 0.500 0.500 0.898
Li 0.000 0.000 0.400
Zn 0.500 0.500 0.102
Li 0.000 0.000 0.600

## Properties
E: -2.348 eV/atom


[2]
Below is ZnIr2Os after structural relaxation, with properties calculated at the GGA-PBE level.

Cell: 2.728 2.728 9.148 Å, 90.00 90.00 120.15°
Fractional coordinates of all 4 atoms:
Ir 0.500 0.500 0.252
Os 0.000 0.000 0.503
Zn 0.500 0.500 0.752
Ir 0.000 0.000 0.994

## Properties
E: -7.273 eV/atom


[3]
Below is Y3Zn6Pt5 after structural relaxation, with properties calculated at the GGA-PBE level.

Cell: 4.225 9.528 12.672 Å, 90.00 90.00 90.00°
Fractional coordinates of all 28 atoms:
Zn 0.000 0.980 0.152
Pt 0.000 0.859 0.655
Pt 0.000 0.793 0.000
Zn 0.500 0.962 0.000
Pt 0.500 0.141 0.155
Y 0.000 0.265 0.000
Y 0.500 0.749 0.803
Zn 0.000 0.589 0.321
Y 0.000 0.251 0.303
Y 0.500 0.749 0.197
Pt 0.000 0.544 0.883
Pt 0.000 0.544 0.117
Pt 0.500 0.141 0.845
Zn 0.000 0.980 0.848
Y 0.500 0.735 0.500
Zn 0.500 0.411 0.821
Pt 0.000 0.859 0.345
Pt 0.500 0.456 0.617
Zn 0.500 0.020 0.652
Pt 0.500 0.207 0.500
Zn 0.500 0.411 0.179
Pt 0.500 0.456 0.383
Zn 0.000 0.589 0.679
Zn 0.000 0.038 0.500
Y 0.000 0.251 0.697
Zn 0.500 0.020 0.348
Zn 0.500 0.571 0.000
Zn 0.000 0.429 0.500

## Properties
E: -4.892 eV/atom


Energy relative to the elements for the records above, in order: -156 284 -804 meV/atom